# 1
Below is a PBEsol-optimized structure of FeP2O7, with properties calculated at the meta-GGA SCAN level.

a b c (Å): 6.8021 7.9751 9.5567
angles (deg): 90.00 103.95 90.00
Fractional positions:
Fe: 0.2246 0.0767 0.3355
Fe: 0.2246 0.4233 0.8355
Fe: 0.7754 0.5767 0.1645
Fe: 0.7754 0.9233 0.6645
P: 0.0301 0.7486 0.4594
P: 0.0301 0.7514 0.9594
P: 0.3818 0.7391 0.7040
P: 0.3818 0.7609 0.2040
P: 0.6182 0.2391 0.7960
P: 0.6182 0.2609 0.2960
P: 0.9699 0.2486 0.0406
P: 0.9699 0.2514 0.5406
O: 0.0591 0.1106 0.1463
O: 0.0591 0.3894 0.6463
O: 0.0654 0.5878 0.8857
O: 0.0654 0.9122 0.3857
O: 0.1132 0.2272 0.4397
O: 0.1132 0.2728 0.9397
O: 0.2399 0.6784 0.5510
O: 0.2399 0.8216 0.0510
O: 0.2986 0.6134 0.2629
O: 0.2986 0.8866 0.7629
O: 0.4016 0.5766 0.7994
O: 0.4016 0.9234 0.2994
O: 0.4079 0.2433 0.3315
O: 0.4079 0.2567 0.8315
O: 0.5921 0.7433 0.1685
O: 0.5921 0.7567 0.6685
O: 0.5984 0.0766 0.7006
O: 0.5984 0.4234 0.2006
O: 0.7014 0.1134 0.2371
O: 0.7014 0.3866 0.7371
O: 0.7601 0.1784 0.9490
O: 0.7601 0.3216 0.4490
O: 0.8868 0.7272 0.0603
O: 0.8868 0.7728 0.5603
O: 0.9346 0.0878 0.6143
O: 0.9346 0.4122 0.1143
O: 0.9409 0.6106 0.3537
O: 0.9409 0.8894 0.8537

Properties
Symmetry: No. 14
Total magnetic moment: 3.956 μB/f.u.
Formation energy without anion corrections: -1982 meV/atom
VASP energy: -10.24 eV/atom
Volume: 503.1 Å³/cell

# 2
Below is a PBEsol-optimized structure of FeP2O2, with properties calculated at the meta-GGA SCAN level.

a b c (Å): 3.0640 3.0640 14.8002
angles (deg): 90.00 90.00 90.00
Fractional positions:
Fe: 0.0000 0.0000 0.0000
Fe: 0.5000 0.5000 0.5000
P: 0.0000 0.5000 0.2500
P: 0.0000 0.5000 0.7500
P: 0.5000 0.0000 0.2500
P: 0.5000 0.0000 0.7500
O: 0.0000 0.0000 0.4483
O: 0.0000 0.0000 0.5517
O: 0.5000 0.5000 0.0517
O: 0.5000 0.5000 0.9483

Properties
Symmetry: No. 139
Total magnetic moment: 4.027 μB/f.u.
Formation energy without anion corrections: 133 meV/atom
VASP energy: -10.15 eV/atom
Volume: 138.9 Å³/cell

# 3
Below is a PBEsol-optimized structure of FePO2, with properties calculated at the meta-GGA SCAN level.

a b c (Å): 2.9688 2.9688 17.9946
angles (deg): 90.00 90.00 120.00
Fractional positions:
Fe: 0.0000 0.0000 0.0000
Fe: 0.3333 0.6667 0.6667
Fe: 0.6667 0.3333 0.3333
P: 0.0000 0.0000 0.5000
P: 0.3333 0.6667 0.1667
P: 0.6667 0.3333 0.8333
O: 0.0000 0.0000 0.1043
O: 0.0000 0.0000 0.8957
O: 0.3333 0.6667 0.5623
O: 0.3333 0.6667 0.7710
O: 0.6667 0.3333 0.2290
O: 0.6667 0.3333 0.4377

Properties
Symmetry: No. 166
Total magnetic moment: 3.099 μB/f.u.
Formation energy without anion corrections: -382 meV/atom
VASP energy: -10.63 eV/atom
Volume: 137.3 Å³/cell

# 4
Below is a PBEsol-optimized structure of FeP2PdO, with properties calculated at the meta-GGA SCAN level.

a b c (Å): 4.6662 4.6662 3.7120
angles (deg): 90.00 90.00 90.00
Fractional positions:
Fe: 0.0000 0.0000 0.0000
P: 0.0000 0.5000 0.5000
P: 0.5000 0.0000 0.5000
Pd: 0.5000 0.5000 0.5000
O: 0.5000 0.5000 0.0000

Properties
Symmetry: No. 123
Total magnetic moment: 3.981 μB/f.u.
ΔE to the lowest computed polymorph: 0.692 eV/atom
Formation energy without anion corrections: 711 meV/atom
VASP energy: -14.88 eV/atom
Volume: 80.8 Å³/cell